NdSm8Sc2: relaxed, PBE.

Properties
Excess energy over the best structure of this formula in the dataset, meV/atom: 0
Uncorrected energy, eV per atom: -4.893
ΔH_f (0 K), eV/atom: 0.12

Lattice parameters (Å, degrees): 9.296 9.296 9.296 145.60 126.73 64.96
Positions (direct):
Nd: 0.000 0.000 0.000
Sm: 0.153 0.856 0.297
Sm: 0.163 0.663 0.500
Sm: 0.301 0.500 0.801
Sm: 0.441 0.144 0.297
Sm: 0.559 0.856 0.703
Sm: 0.699 0.500 0.199
Sm: 0.837 0.337 0.500
Sm: 0.847 0.144 0.703
Sc: 0.300 0.300 0.000
Sc: 0.700 0.700 0.000


Nd5Sm5Sc2: relaxed, PBE.

Properties
Uncorrected energy, eV per atom: -4.971
ΔH_f (0 K), eV/atom: 0.04

Lattice parameters (Å, degrees): 6.201 8.038 8.801 68.47 89.59 74.98
Positions (direct):
Nd: 0.000 0.000 0.000
Nd: 0.082 0.255 0.582
Nd: 0.252 0.741 0.756
Nd: 0.748 0.259 0.244
Nd: 0.918 0.745 0.418
Sm: 0.332 0.007 0.330
Sm: 0.414 0.256 0.917
Sm: 0.500 0.500 0.500
Sm: 0.586 0.744 0.083
Sm: 0.668 0.993 0.670
Sc: 0.161 0.501 0.162
Sc: 0.839 0.499 0.838